Compound: Cd4C3
Source: the Open Quantum Materials Database
Functional: PBE
Structure: optimized geometry

The space group is R-3m (No. 166, hexagonal axes) and the conventional cell measures 3.5121, 3.5121 and 30.8263 Å, with angles of 90.00, 90.00 and 120.00 degrees. The inequivalent atoms are Cd at (0.0000, 0.0000, 0.1269), Cd at (0.0000, 0.0000, 0.2895), C at (0.0000, 0.0000, 0.0000) and C at (0.0000, 0.0000, 0.4219).

For the calculated total energy, the calculation gives -2.796 eV/atom.